This record from Alexandria describes a relaxed Tb3PmSb3 crystal. The functional is PBE.

## Properties
- E_form (uncorrected) (eV/atom) = -0.919
- relative energy among the computed polymorphs (meV/atom) = 102.7
- SG = No. 148
- final energy (eV/atom) = -5.349

Lattice parameters (Å, degrees): 8.1023 8.1023 8.1023 68.36 68.36 68.36
Element x y z (fractional)
Tb1 0.0883 0.8178 0.3497
Tb2 0.1822 0.6503 0.9117
Tb3 0.3497 0.0883 0.8178
Tb4 0.6503 0.9117 0.1822
Tb5 0.8178 0.3497 0.0883
Tb6 0.9117 0.1822 0.6503
Pm1 0.3339 0.3339 0.3339
Pm2 0.6661 0.6661 0.6661
Sb1 0.0775 0.4647 0.7027
Sb2 0.2973 0.9225 0.5353
Sb3 0.4647 0.7027 0.0775
Sb4 0.5353 0.2973 0.9225
Sb5 0.7027 0.0775 0.4647
Sb6 0.9225 0.5353 0.2973

This record from Alexandria describes a relaxed TbPm3Sb2 crystal. The functional is PBE.

## Properties
- E_form (uncorrected) (eV/atom) = -0.613
- relative energy among the computed polymorphs (meV/atom) = 216.8
- SG = No. 72
- final energy (eV/atom) = -5.134

Lattice parameters (Å, degrees): 9.0157 9.0157 9.0157 133.08 72.27 128.42
Element x y z (fractional)
Tb1 0.0000 0.0000 0.0000
Tb2 0.5000 0.5000 0.0000
Pm1 0.0414 0.2500 0.7914
Pm2 0.2500 0.7500 0.5000
Pm3 0.4586 0.2500 0.2086
Pm4 0.5414 0.7500 0.7914
Pm5 0.7500 0.2500 0.5000
Pm6 0.9586 0.7500 0.2086
Sb1 0.1453 0.6782 0.8235
Sb2 0.3547 0.1782 0.5329
Sb3 0.6453 0.8218 0.4671
Sb4 0.8547 0.3218 0.1765

This record from Alexandria describes a relaxed Tb2PmSb crystal. The functional is PBE.

## Properties
- E_form (uncorrected) (eV/atom) = -0.277
- relative energy among the computed polymorphs (meV/atom) = 288.2
- SG = No. 225
- final energy (eV/atom) = -4.810

Lattice parameters (Å, degrees): 5.4242 5.4242 5.4242 60.00 60.00 60.00
Element x y z (fractional)
Tb1 0.2500 0.2500 0.2500
Tb2 0.7500 0.7500 0.7500
Pm1 0.0000 0.0000 0.0000
Sb1 0.5000 0.5000 0.5000

This record from Alexandria describes a relaxed Tb2PmSb2 crystal. The functional is PBE.

## Properties
- E_form (uncorrected) (eV/atom) = -0.665
- SG = No. 15
- final energy (eV/atom) = -5.116

Lattice parameters (Å, degrees): 8.0269 8.0269 6.0617 111.53 111.53 97.67
Element x y z (fractional)
Tb1 0.0790 0.2741 0.4774
Tb2 0.2741 0.0790 0.9774
Tb3 0.7259 0.9210 0.0226
Tb4 0.9210 0.7259 0.5226
Pm1 0.3984 0.6016 0.2500
Pm2 0.6016 0.3984 0.7500
Sb1 0.1263 0.8737 0.2500
Sb2 0.3255 0.6745 0.7500
Sb3 0.6745 0.3255 0.2500
Sb4 0.8737 0.1263 0.7500

This record from Alexandria describes a relaxed Tb3PmSb3 crystal. The functional is PBE.

## Properties
- E_form (uncorrected) (eV/atom) = -1.022
- relative energy among the computed polymorphs (meV/atom) = 0.0
- SG = No. 198
- final energy (eV/atom) = -5.452

Lattice parameters (Å, degrees): 9.2895 9.2895 9.2895 90.00 90.00 90.00
Element x y z (fractional)
Tb1 0.0741 0.4259 0.5741
Tb2 0.1788 0.1788 0.1788
Tb3 0.1798 0.8202 0.3202
Tb4 0.3202 0.1798 0.8202
Tb5 0.3212 0.8212 0.6788
Tb6 0.4259 0.5741 0.0741
Tb7 0.5741 0.0741 0.4259
Tb8 0.6788 0.3212 0.8212
Tb9 0.6798 0.6798 0.6798
Tb10 0.8202 0.3202 0.1798
Tb11 0.8212 0.6788 0.3212
Tb12 0.9259 0.9259 0.9259
Pm1 0.0703 0.5703 0.9297
Pm2 0.4297 0.4297 0.4297
Pm3 0.5703 0.9297 0.0703
Pm4 0.9297 0.0703 0.5703
Sb1 0.0010 0.7460 0.6227
Sb2 0.1227 0.4990 0.2540
Sb3 0.2460 0.8773 0.9990
Sb4 0.2540 0.1227 0.4990
Sb5 0.3773 0.5010 0.7540
Sb6 0.4990 0.2540 0.1227
Sb7 0.5010 0.7540 0.3773
Sb8 0.6227 0.0010 0.7460
Sb9 0.7460 0.6227 0.0010
Sb10 0.7540 0.3773 0.5010
Sb11 0.8773 0.9990 0.2460
Sb12 0.9990 0.2460 0.8773

This record from Alexandria describes a relaxed Tb3PmSb2 crystal. The functional is PBE.

## Properties
- E_form (uncorrected) (eV/atom) = -0.581
- relative energy among the computed polymorphs (meV/atom) = 215.2
- SG = No. 72
- final energy (eV/atom) = -5.062

Lattice parameters (Å, degrees): 8.9594 8.9594 8.9594 133.67 70.49 130.06
Element x y z (fractional)
Tb1 0.0452 0.7500 0.2952
Tb2 0.2500 0.2500 0.0000
Tb3 0.4548 0.7500 0.7048
Tb4 0.5452 0.2500 0.2952
Tb5 0.7500 0.7500 0.0000
Tb6 0.9548 0.2500 0.7048
Pm1 0.0000 0.5000 0.5000
Pm2 0.5000 0.0000 0.5000
Sb1 0.1488 0.1671 0.3159
Sb2 0.3512 0.6671 0.0182
Sb3 0.6488 0.3329 0.9818
Sb4 0.8512 0.8329 0.6841